KMnCo2 after structural relaxation. Source: Alexandria, functional PBE.

D(E_F): 2.823 states/eV/f.u.
total magnetization: 1.347 μB per atom

POSCAR file:
```
KMnCo2
1.0
-5.0714 -6.7247 4.0014
-5.2593 -7.5808 1.3502
-3.0581 -8.3172 2.9024
Co K Mn
2 1 1
Cartesian
-0.2372 -0.4008 0.1462
-6.4572 -10.9105 3.9808
-3.3472 -5.6557 2.0635
-10.0416 -16.9670 6.1905
```

---

K2MnCo after structural relaxation. Source: Alexandria, functional PBE.

D(E_F): 4.215 states/eV/f.u.
total magnetization: 1.425 μB per atom

POSCAR file:
```
K2MnCo
1.0
3.0705 0.0000 0.0000
0.0000 3.0705 0.0000
0.0000 0.0000 11.2575
Co K Mn
1 2 1
Cartesian
1.5352 1.5352 8.4431
0.0000 0.0000 10.9895
0.0000 0.0000 5.8967
1.5352 1.5352 2.8144
```

---

KMnCo2 after structural relaxation. Source: Alexandria, functional PBE.

D(E_F): 4.642 states/eV/f.u.
total magnetization: 1.745 μB per atom

POSCAR file:
```
KMnCo2
1.0
-2.9818 3.3678 -0.6154
-1.8963 -2.3379 -3.3985
0.4261 -1.9158 4.0939
Co K Mn
2 1 1
Cartesian
0.0000 0.0000 0.0000
-1.9546 -1.8694 -0.6558
-2.4391 0.5149 -2.0069
-2.4974 0.9835 0.7358
```

---

KMn2Co after structural relaxation. Source: Alexandria, functional PBE.

D(E_F): 2.598 states/eV/f.u.
total magnetization: 2.332 μB per atom

POSCAR file:
```
KMn2Co
1.0
4.7253 0.0000 0.0000
2.3627 4.0923 0.0000
2.3627 1.3641 3.8582
Co K Mn
1 1 2
Cartesian
4.7253 2.7282 1.9291
7.0880 4.0923 2.8937
0.0000 0.0000 0.0000
2.3627 1.3641 0.9646
```

---

KMnCo2 after structural relaxation. Source: Alexandria, functional PBE.

D(E_F): 4.503 states/eV/f.u.
total magnetization: 1.751 μB per atom

POSCAR file:
```
KMnCo2
1.0
5.0102 0.0000 0.0000
0.0000 5.0102 0.0000
0.0000 0.0000 2.6635
Co K Mn
2 1 1
Cartesian
0.0000 0.0000 0.0000
2.5051 2.5051 0.0000
2.5051 0.0000 1.3317
0.0000 2.5051 1.3317
```

---

KMnCo2 after structural relaxation. Source: Alexandria, functional PBE.

D(E_F): 5.339 states/eV/f.u.
total magnetization: 1.812 μB per atom

POSCAR file:
```
KMnCo2
1.0
4.1823 0.0000 0.0000
0.0000 4.0182 0.0000
0.0000 0.0000 4.0182
Co K Mn
2 1 1
Cartesian
0.0000 0.0000 0.0000
0.0000 2.0091 2.0091
2.0912 2.0091 0.0000
2.0912 0.0000 2.0091
```

---

K2MnCo after structural relaxation. Source: Alexandria, functional PBE.

D(E_F): 2.518 states/eV/f.u.
total magnetization: 1.209 μB per atom

POSCAR file:
```
K2MnCo
1.0
3.7931 0.0000 0.0000
0.0000 3.0723 0.0732
0.0000 0.7342 10.1155
Co K Mn
1 2 1
Cartesian
1.8966 3.5099 6.5844
0.0000 3.4901 9.3286
1.8966 0.5302 3.3749
0.0000 1.9858 6.1838
```

---

KMnCo2 after structural relaxation. Source: Alexandria, functional PBE.

D(E_F): 5.856 states/eV/f.u.
total magnetization: 1.882 μB per atom

POSCAR file:
```
KMnCo2
1.0
-2.3269 -2.5207 3.1961
3.9898 -0.6834 2.3658
-0.6562 5.5851 7.3662
K Mn Co
2 2 4
Cartesian
0.8315 -1.6020 2.7809
2.0826 1.6498 6.2564
0.0000 0.0000 0.0000
-1.0758 0.7312 6.6716
-1.7009 -0.8942 4.9332
0.2932 -1.2369 6.1173
-0.8653 3.1580 7.0193
-2.0302 1.8980 8.6164
```

---

| no. | ΔH_f (0 K) (eV/atom) |
| --- | --- |
| 1 | 0.808 |
| 2 | 1.244 |
| 3 | 1.262 |
| 4 | 1.287 |
| 5 | 1.176 |
| 6 | 1.312 |
| 7 | 0.668 |
| 8 | 1.083 |